Here is an optimized crystal structure of Cr2BiAsO8 from Alexandria via LeMat-Bulk. Energies are from PBE+U.

Computed properties:
Space-group type: No. 65
DOS at the Fermi energy (states/eV/cell): 1.119
Calculated total energy (eV/cell): -79.435
Total magnetization (μB/atom): 0.497

The structure in POSCAR format:
```
Cr2BiAsO8
1.0
3.226 -3.304 0.000
3.226 3.304 0.000
0.000 0.000 6.283
Cr Bi As O
2 1 1 8
direct
0.000 0.000 0.236 Cr
0.000 0.000 0.764 Cr
0.500 0.500 0.500 Bi
0.500 0.500 0.000 As
0.179 0.179 0.500 O
0.209 0.209 0.000 O
0.307 0.693 0.221 O
0.307 0.693 0.779 O
0.693 0.307 0.221 O
0.693 0.307 0.779 O
0.791 0.791 0.000 O
0.821 0.821 0.500 O
```